Density functional theory data (GGA-PBE) for a relaxed structure of CsBiW.

Its calculated total energy is -3.5402 eV/atom. The crystal system is cubic. The density is 7.095 g/cm³. As for the symmetry: F-43m.

Unit cell a=5.5828 b=5.5828 c=5.5828 alpha=60.00 beta=60.00 gamma=60.00
Fractional positions:
Cs 0.0000 0.0000 0.0000
Bi 0.2500 0.2500 0.2500
W 0.7500 0.7500 0.7500